Computed, not measured: a geometry-optimized BiIrSe2Br structure at the PBE level of DFT.

Lattice parameters (Å, degrees): 4.979 4.979 4.973 90.00 90.00 90.00
Fractional coordinates of all 5 atoms:
Bi  0.500  0.500  0.500
Br  0.000  0.000  0.500
Ir  0.000  0.000  0.000
Se  0.500  0.000  0.000
Se  0.000  0.500  0.000

ΔE_f (raw) in eV/atom: 0.26
Magnetic moment in μB per formula unit: 0.00



Computed, not measured: a geometry-optimized K2BiBr4 structure at the PBE level of DFT.

Lattice parameters (Å, degrees): 6.014 6.014 9.275 71.08 71.08 90.00
Fractional coordinates of all 7 atoms:
Bi  0.000  0.000  0.000
Br  0.500  0.000  0.000
Br  0.176  0.176  0.649
Br  0.824  0.824  0.351
Br  0.000  0.500  0.000
K  0.631  0.631  0.739
K  0.369  0.369  0.261

ΔE_f (raw) in eV/atom: -1.14
Magnetic moment in μB per formula unit: 0.00



Computed, not measured: a geometry-optimized KBiBr2 structure at the PBE level of DFT.

Lattice parameters (Å, degrees): 5.638 5.638 5.638 60.00 60.00 60.00
Fractional coordinates of all 4 atoms:
Bi  0.500  0.500  0.500
Br  0.250  0.250  0.250
Br  0.750  0.750  0.750
K  0.000  0.000  0.000

ΔE_f (raw) in eV/atom: -0.56
Magnetic moment in μB per formula unit: 0.00



Computed, not measured: a geometry-optimized K6Bi3Br14 structure at the PBE level of DFT.

Lattice parameters (Å, degrees): 7.944 11.495 11.495 120.00 90.00 90.00
Each line ends with the local moment (μB).
Fractional coordinates of all 23 atoms:
Br  0.986  0.333  0.667  0.00
Br  0.644  0.430  0.232  0.00
Br  0.523  0.200  0.771  0.00
Br  0.996  0.756  0.853  0.04
Br  0.996  0.097  0.244  0.04
Br  0.996  0.147  0.903  0.04
Br  0.432  0.000  0.000  0.01
Br  0.644  0.802  0.570  0.00
Br  0.644  0.768  0.198  0.00
Br  0.523  0.229  0.429  0.00
Br  0.523  0.571  0.800  0.00
Br  0.223  0.907  0.437  0.00
Br  0.223  0.529  0.093  0.00
Br  0.223  0.563  0.471  0.00
Bi  0.790  0.000  0.000  0.48
Bi  0.438  0.667  0.333  0.02
Bi  0.355  0.333  0.667  0.02
K  0.813  0.454  0.976  0.00
K  0.813  0.521  0.546  0.00
K  0.813  0.024  0.479  0.00
K  0.248  0.826  0.111  0.00
K  0.248  0.889  0.714  0.00
K  0.248  0.286  0.174  0.00

ΔE_f (raw) in eV/atom: -1.20
Magnetic moment in μB per formula unit: 1.05



Computed, not measured: a geometry-optimized K2BiBr4 structure at the PBE level of DFT.

Lattice parameters (Å, degrees): 8.030 8.030 7.110 124.38 124.38 90.00
Each line ends with the local moment (μB).
Fractional coordinates of all 7 atoms:
Br  0.754  0.247  0.001  0.02
Br  0.247  0.754  0.001  0.02
Br  0.246  0.246  0.999  0.02
Br  0.753  0.753  0.999  0.02
Bi  0.500  0.500  0.000  0.56
K  0.250  0.750  0.500  0.00
K  0.750  0.250  0.500  0.00

ΔE_f (raw) in eV/atom: -1.18
Magnetic moment in μB per formula unit: 1.00



Computed, not measured: a geometry-optimized KBiBr2 structure at the PBE level of DFT.

Lattice parameters (Å, degrees): 11.174 11.174 11.174 19.91 19.91 19.91
Fractional coordinates of all 4 atoms:
Br  0.907  0.907  0.907
Br  0.093  0.093  0.093
K  0.000  0.000  0.000
Bi  0.500  0.500  0.500

ΔE_f (raw) in eV/atom: -0.44
Magnetic moment in μB per formula unit: 0.00